VASP calculation (PBE) on Y2CrGe4Pt3 after structural relaxation.

Its space group is No. 115. As for the formation energy: -7.84 eV/f.u.

Lattice parameters (Å, degrees): 4.118 4.118 10.953 90.00 90.00 90.00
Atoms (fractional coordinates):
Pt  0.500  0.000  0.861
Pt  0.000  0.500  0.139
Pt  0.000  0.000  0.500
Y  0.000  0.500  0.744
Y  0.500  0.000  0.256
Ge  0.000  0.000  0.000
Ge  0.500  0.000  0.636
Ge  0.000  0.500  0.364
Ge  0.500  0.500  0.000
Cr  0.500  0.500  0.500

VASP calculation (PBE) on SrPrTe2 after structural relaxation.

Its space group is No. 160. The calculation puts the offset from the most stable computed form at 0.0607 eV per atom. The calculation puts the formation energy without anion corrections at -1503 meV per atom.

Lattice parameters (Å, degrees): 4.494 4.494 8.494 74.66 74.66 60.00
Atoms (fractional coordinates):
Te  0.080  0.080  0.759
Te  0.254  0.254  0.238
Sr  0.497  0.497  0.510
Pr  0.669  0.669  0.993

VASP calculation (PBE) on Pm4PrNdDy2 after structural relaxation.

Its space group is No. 10. As for the formation energy: 0.13 eV/f.u.

Lattice parameters (Å, degrees): 3.641 6.279 12.079 79.87 90.00 90.00
Atoms (fractional coordinates):
Pr  0.500  0.500  0.000
Pm  0.500  0.249  0.751
Pm  0.000  0.752  0.748
Pm  0.000  0.248  0.252
Pm  0.500  0.751  0.249
Dy  0.000  0.000  0.000
Dy  0.500  0.000  0.500
Nd  0.000  0.500  0.500

VASP calculation (PBE) on TlCrPb4 after structural relaxation.

Its space group is No. 216. As for the formation energy: 2.71 eV/f.u.

Lattice parameters (Å, degrees): 6.471 6.471 6.471 60.00 60.00 60.00
Atoms (fractional coordinates):
Pb  0.876  0.375  0.375
Pb  0.375  0.375  0.375
Pb  0.375  0.876  0.375
Pb  0.375  0.375  0.876
Cr  0.000  0.000  0.000
Tl  0.750  0.750  0.750

VASP calculation (PBE) on Tc2H2Ru after structural relaxation.

Its space group is No. 139. The calculation puts the offset from the most stable computed form at 0.0000 eV per atom.

Lattice parameters (Å, degrees): 2.860 2.860 6.285 76.85 76.85 90.00
Atoms (fractional coordinates):
Tc  0.349  0.349  0.302
Tc  0.651  0.651  0.698
H  0.250  0.750  0.500
H  0.750  0.250  0.500
Ru  0.000  0.000  0.000

VASP calculation (PBE) on Na2AgSbMo after structural relaxation.

Its space group is No. 123. The calculation puts the formation energy without anion corrections at 782 meV per atom.

Lattice parameters (Å, degrees): 5.786 5.265 5.786 90.00 90.00 90.00
Atoms (fractional coordinates):
Na  0.000  0.000  0.500
Na  0.500  0.000  0.000
Ag  0.500  0.500  0.500
Mo  0.000  0.500  0.000
Sb  0.000  0.000  0.000

VASP calculation (PBE) on CsTaRe2 after structural relaxation.

Its space group is No. 225. The calculation puts the offset from the most stable computed form at 0.0000 eV per atom. As for the formation energy: 7.55 eV/f.u.

Lattice parameters (Å, degrees): 4.768 4.768 4.768 60.00 60.00 60.00
Atoms (fractional coordinates):
Re  0.250  0.250  0.250
Re  0.750  0.750  0.750
Ta  0.500  0.500  0.500
Cs  0.000  0.000  0.000

VASP calculation (PBE) on Fe2TeMo after structural relaxation.

Its space group is No. 139. The calculation puts the offset from the most stable computed form at 0.1432 eV per atom. The calculation puts the formation energy without anion corrections at 484 meV per atom.

Lattice parameters (Å, degrees): 4.582 4.582 4.582 129.23 129.23 74.65
Atoms (fractional coordinates):
Mo  0.250  0.750  0.500
Fe  0.000  0.000  0.000
Fe  0.500  0.500  0.000
Te  0.750  0.250  0.500

VASP calculation (PBE) on UGaPt6 after structural relaxation.

Its space group is No. 65. As for the formation energy: -4.77 eV/f.u.

Lattice parameters (Å, degrees): 4.091 5.720 5.720 89.58 90.00 90.00
Atoms (fractional coordinates):
Pt  0.500  0.000  0.500
Pt  0.500  0.500  0.000
Pt  0.000  0.248  0.248
Pt  0.000  0.254  0.746
Pt  0.000  0.746  0.254
Pt  0.000  0.752  0.752
U  0.500  0.000  0.000
Ga  0.500  0.500  0.500

VASP calculation (PBE) on ZnCr2FeH after structural relaxation.

Its space group is No. 123. The total energy comes out at -31.57 eV for the cell shown.

Lattice parameters (Å, degrees): 3.615 3.615 3.848 90.00 90.00 90.00
Atoms (fractional coordinates):
Cr  0.000  0.500  0.000
Cr  0.500  0.000  0.000
Fe  0.000  0.000  0.500
Zn  0.500  0.500  0.500
H  0.000  0.000  0.000

VASP calculation (PBE) on TbCeSmPb after structural relaxation.

Its space group is No. 216. As for the formation energy: -0.30 eV/f.u.

Lattice parameters (Å, degrees): 5.489 5.489 5.489 60.00 60.00 60.00
Atoms (fractional coordinates):
Pb  0.250  0.250  0.250
Ce  0.750  0.750  0.750
Tb  0.000  0.000  0.000
Sm  0.500  0.500  0.500

VASP calculation (PBE) on CuRe2W after structural relaxation.

Its space group is No. 122. As for the formation energy: 4.09 eV/f.u.

Lattice parameters (Å, degrees): 7.067 7.067 5.644 51.23 51.23 90.00
Atoms (fractional coordinates):
Cu  0.250  0.750  0.500
Cu  0.500  0.500  0.000
W  0.750  0.250  0.500
W  0.000  0.000  0.000
Re  0.111  0.625  0.250
Re  0.639  0.125  0.250
Re  0.375  0.361  0.750
Re  0.875  0.889  0.750

VASP calculation (PBE) on ZnAsRu after structural relaxation.

Its space group is No. 42. The calculation puts the offset from the most stable computed form at 0.3385 eV per atom. As for the formation energy: 0.58 eV/f.u.

Lattice parameters (Å, degrees): 7.003 6.729 2.899 83.16 72.57 24.27
Atoms (fractional coordinates):
Ru  0.338  0.338  0.662
As  0.983  0.983  0.017
Zn  0.679  0.679  0.321

VASP calculation (PBE) on Sm2Te3Au after structural relaxation.

Its space group is No. 62. The calculation puts the formation energy without anion corrections at -1128 meV per atom.

Lattice parameters (Å, degrees): 4.328 12.195 13.390 90.00 90.00 90.00
Atoms (fractional coordinates):
Au  0.250  0.199  0.187
Au  0.750  0.801  0.813
Au  0.750  0.699  0.313
Au  0.250  0.301  0.687
Sm  0.250  0.816  0.975
Sm  0.250  0.531  0.783
Sm  0.250  0.969  0.283
Sm  0.750  0.184  0.025
Sm  0.750  0.469  0.217
Sm  0.750  0.316  0.525
Sm  0.250  0.684  0.475
Sm  0.750  0.031  0.717
Te  0.750  0.168  0.317
Te  0.250  0.668  0.183
Te  0.250  0.832  0.683
Te  0.750  0.562  0.613
Te  0.250  0.378  0.054
Te  0.250  0.062  0.887
Te  0.750  0.622  0.946
Te  0.750  0.938  0.113
Te  0.750  0.878  0.446
Te  0.750  0.332  0.817
Te  0.250  0.438  0.387
Te  0.250  0.122  0.554

VASP calculation (PBE) on LaTmTlPb after structural relaxation.

Its space group is No. 216. As for the formation energy: -1.59 eV/f.u.

Lattice parameters (Å, degrees): 5.512 5.512 5.512 60.00 60.00 60.00
Atoms (fractional coordinates):
Tl  0.500  0.500  0.500
Tm  0.250  0.250  0.250
Pb  0.000  0.000  0.000
La  0.750  0.750  0.750

VASP calculation (PBE) on CsSrGaSb2 after structural relaxation.

Its space group is No. 67. The calculation puts the offset from the most stable computed form at 0.0000 eV per atom. The calculation puts the formation energy without anion corrections at -428 meV per atom.

Lattice parameters (Å, degrees): 6.540 8.533 9.445 116.86 90.00 90.00
Atoms (fractional coordinates):
Sr  0.500  0.750  0.000
Sr  0.500  0.250  0.000
Ga  0.000  0.000  0.000
Ga  0.000  0.500  0.000
Cs  0.755  0.250  0.500
Cs  0.245  0.750  0.500
Sb  0.760  0.616  0.232
Sb  0.240  0.116  0.232
Sb  0.760  0.884  0.768
Sb  0.240  0.384  0.768

VASP calculation (PBE) on Li3ZnHg2 after structural relaxation.

Its space group is No. 15. The calculation puts the offset from the most stable computed form at 0.0021 eV per atom. As for the formation energy: -1.76 eV/f.u.

Lattice parameters (Å, degrees): 4.709 8.065 8.065 121.52 107.07 107.07
Atoms (fractional coordinates):
Zn  0.250  0.419  0.581
Zn  0.750  0.581  0.419
Hg  0.250  0.745  0.255
Hg  0.250  0.085  0.915
Hg  0.750  0.255  0.745
Hg  0.750  0.915  0.085
Li  0.000  0.000  0.500
Li  0.503  0.172  0.334
Li  0.003  0.334  0.172
Li  0.500  0.500  0.000
Li  0.497  0.828  0.666
Li  0.997  0.666  0.828

VASP calculation (PBE) on Ge2AuO after structural relaxation.

Its space group is No. 122. The calculation puts the formation energy without anion corrections at -277 meV per atom.

Lattice parameters (Å, degrees): 5.241 5.241 6.743 67.13 67.13 90.00
Atoms (fractional coordinates):
Ge  0.196  0.625  0.250
Ge  0.375  0.446  0.750
Ge  0.554  0.125  0.250
Ge  0.875  0.804  0.750
O  0.500  0.500  0.000
O  0.250  0.750  0.500
Au  0.750  0.250  0.500
Au  0.000  0.000  0.000

VASP calculation (PBE) on LiY2Cl after structural relaxation.

Its space group is No. 123. The calculation puts the offset from the most stable computed form at 0.2675 eV per atom. The calculation puts the formation energy without anion corrections at -372 meV per atom.

Lattice parameters (Å, degrees): 3.468 3.468 8.103 90.00 90.00 90.00
Atoms (fractional coordinates):
Cl  0.500  0.500  0.250
Y  0.000  0.000  0.514
Y  0.000  0.000  0.986
Li  0.500  0.500  0.750

VASP calculation (PBE) on Ba3Sr8Ca2 after structural relaxation.

Its space group is No. 65. As for the formation energy: 1.90 eV/f.u.

Lattice parameters (Å, degrees): 6.833 8.915 14.782 107.54 117.53 90.00
Atoms (fractional coordinates):
Ba  0.000  0.269  0.000
Ba  0.000  0.731  0.000
Ba  0.500  0.000  0.000
Sr  0.291  0.146  0.291
Sr  0.735  0.395  0.235
Sr  0.265  0.160  0.765
Sr  0.265  0.605  0.765
Sr  0.735  0.840  0.235
Sr  0.351  0.675  0.351
Sr  0.649  0.325  0.649
Sr  0.709  0.854  0.709
Ca  0.985  0.242  0.485
Ca  0.015  0.758  0.515

VASP calculation (PBE) on SmP2Pt7Au after structural relaxation.

Its space group is No. 119. As for the formation energy: -3.39 eV/f.u.

Lattice parameters (Å, degrees): 4.033 4.033 14.849 97.80 97.80 90.00
Atoms (fractional coordinates):
Pt  0.423  0.923  0.847
Pt  0.077  0.577  0.153
Pt  0.194  0.194  0.387
Pt  0.577  0.077  0.153
Pt  0.806  0.806  0.613
Pt  0.923  0.423  0.847
Pt  0.000  0.000  0.000
Sm  0.500  0.500  0.000
P  0.120  0.120  0.240
P  0.880  0.880  0.760
Au  0.250  0.750  0.500

VASP calculation (PBE) on DyYO after structural relaxation.

Its space group is No. 156. The calculation puts the formation energy without anion corrections at -1802 meV per atom.

Lattice parameters (Å, degrees): 3.530 3.530 5.747 90.00 90.00 120.00
Atoms (fractional coordinates):
O  0.333  0.667  0.665
Dy  0.667  0.333  0.432
Y  0.000  0.000  0.903

VASP calculation (PBE) on LaHgBr after structural relaxation.

Its space group is No. 166. The calculation puts the offset from the most stable computed form at 0.0075 eV per atom. The calculation puts the formation energy without anion corrections at -1058 meV per atom.

Lattice parameters (Å, degrees): 4.844 4.844 9.609 75.40 75.40 60.00
Atoms (fractional coordinates):
La  0.426  0.426  0.722
La  0.574  0.574  0.278
Br  0.293  0.293  0.121
Br  0.707  0.707  0.879
Hg  0.846  0.846  0.463
Hg  0.154  0.154  0.537

VASP calculation (PBE) on Nd3Sm2Ag3 after structural relaxation.

Its space group is No. 71. As for the formation energy: -1.43 eV/f.u.

Lattice parameters (Å, degrees): 3.770 5.431 11.568 103.58 99.38 90.00
Atoms (fractional coordinates):
Nd  0.500  0.000  0.000
Nd  0.621  0.621  0.242
Nd  0.379  0.379  0.758
Ag  0.118  0.118  0.237
Ag  0.882  0.882  0.763
Ag  0.000  0.500  0.000
Sm  0.268  0.768  0.537
Sm  0.732  0.232  0.463

VASP calculation (PBE) on RbAlO2 after structural relaxation.

Its space group is No. 160. The calculation puts the formation energy without anion corrections at -1897 meV per atom.

Lattice parameters (Å, degrees): 7.392 7.392 7.392 25.31 25.31 25.31
Atoms (fractional coordinates):
O  0.648  0.648  0.648
O  0.090  0.090  0.090
Rb  0.501  0.501  0.501
Al  0.012  0.012  0.012